Density functional theory data (GGA-PBEsol) for SrIrRh2 after structural relaxation.

a b c (Å): 2.8921 2.8921 8.1374
angles (deg): 90.00 90.00 90.00
Space group P4/mmm (No. 123)
Inequivalent atoms, fractional coordinates:
Sr1 0.0000 0.0000 0.0000 [1 per cell]
Ir1 0.0000 0.0000 0.5000 [1 per cell]
Rh1 0.5000 0.5000 0.2944 [2 per cell]

Output
* DOS at the Fermi energy: 3.42 states/eV per cell
* magnetic moment: 0.00 μB/cell
* energy above the most stable polymorph in this dataset: 0 meV per atom

***

Density functional theory data (GGA-PBEsol) for BaLi2Ag2 after structural relaxation.

a b c (Å): 4.8449 4.8449 10.3541
angles (deg): 90.00 90.00 90.00
Space group I4/mmm (No. 139)
Inequivalent atoms, fractional coordinates:
Ba1 0.0000 0.0000 0.0000 [2 per cell]
Li1 0.0000 0.0000 0.3518 [4 per cell]
Ag1 0.0000 0.5000 0.2500 [4 per cell]

Output
* DOS at the Fermi energy: 4.95 states/eV per cell
* magnetic moment: 0.00 μB/cell
* total energy: -26.60 eV for the cell shown

***

Density functional theory data (GGA-PBEsol) for RbVF3 after structural relaxation.

a b c (Å): 4.1494 4.1494 4.1494
angles (deg): 90.00 90.00 90.00
Space group Pm-3m (No. 221)
Inequivalent atoms, fractional coordinates:
Rb1 0.0000 0.0000 0.0000 [1 per cell]
V1 0.5000 0.5000 0.5000 [1 per cell]
F1 0.0000 0.5000 0.5000 [3 per cell]

Output
* magnetic moment: 3.00 μB/cell
* energy relative to the elements, uncorrected: -2.60 eV per atom

***

Density functional theory data (GGA-PBEsol) for Ti2CoH after structural relaxation.

a b c (Å): 5.4904 5.4904 6.0605
angles (deg): 90.00 90.00 90.00
Space group I-42d (No. 122)
Inequivalent atoms, fractional coordinates:
Ti1 0.1848 0.7500 0.1250 [8 per cell]
Co1 0.0000 0.0000 0.5000 [4 per cell]
H1 0.0000 0.0000 0.0000 [4 per cell]

Output
* DOS at the Fermi energy: 14.25 states/eV per cell
* magnetic moment: 0.00 μB/cell
* total energy: -113.72 eV for the cell shown

***

Density functional theory data (GGA-PBEsol) for YHgW2 after structural relaxation.

a b c (Å): 2.9128 5.0720 5.1919
angles (deg): 90.00 94.06 90.00
Space group P2/m (No. 10)
Inequivalent atoms, fractional coordinates:
Y1 0.0000 0.0000 0.0000 [1 per cell]
Hg1 0.5000 0.0000 0.5000 [1 per cell]
W1 0.3345 0.5000 0.7661 [2 per cell]

Output
* DOS at the Fermi energy: 3.14 states/eV per cell
* magnetic moment: 0.00 μB/cell
* total energy: -32.76 eV for the cell shown

***

Density functional theory data (GGA-PBEsol) for Zn4Cd5 after structural relaxation.

a b c (Å): 8.8206 8.8206 4.1732
angles (deg): 90.00 90.00 90.00
Space group I4/mmm (No. 139)
Inequivalent atoms, fractional coordinates:
Zn1 0.0000 0.3501 0.0000 [8 per cell]
Cd1 0.0000 0.0000 0.0000 [2 per cell]
Cd2 0.1702 0.1702 0.5000 [8 per cell]

Output
* DOS at the Fermi energy: 6.23 states/eV per cell
* magnetic moment: 0.00 μB/cell
* total energy: -23.25 eV for the cell shown

***

Density functional theory data (GGA-PBEsol) for MnInAu2 after structural relaxation.

a b c (Å): 3.2704 3.2704 6.5051
angles (deg): 90.00 90.00 90.00
Space group P4/mmm (No. 123)
Inequivalent atoms, fractional coordinates:
Mn1 0.0000 0.0000 0.0000 [1 per cell]
In1 0.0000 0.0000 0.5000 [1 per cell]
Au1 0.5000 0.5000 0.2231 [2 per cell]

Output
* DOS at the Fermi energy: 1.52 states/eV per cell
* magnetic moment: 4.06 μB/cell
* total energy: -20.75 eV for the cell shown

***

Density functional theory data (GGA-PBEsol) for RbInO2 after structural relaxation.

a b c (Å): 6.1578 6.1578 8.0212
angles (deg): 90.00 90.00 90.00
Space group I-42d (No. 122)
Inequivalent atoms, fractional coordinates:
Rb1 0.0000 0.0000 0.0000 [4 per cell]
In1 0.0000 0.0000 0.5000 [4 per cell]
O1 0.1528 0.7500 0.6250 [8 per cell]

Output
* DOS at the Fermi energy: 0.00 states/eV per cell
* magnetic moment: 0.00 μB/cell
* energy relative to the elements, uncorrected: -1.49 eV per atom

***

Density functional theory data (GGA-PBEsol) for LaTePt4 after structural relaxation.

a b c (Å): 7.6804 7.6804 7.6804
angles (deg): 90.00 90.00 90.00
Space group F-43m (No. 216)
Inequivalent atoms, fractional coordinates:
La1 0.0000 0.0000 0.0000 [4 per cell]
Te1 0.2500 0.2500 0.7500 [4 per cell]
Pt1 0.1250 0.1250 0.3750 [16 per cell]

Output
* DOS at the Fermi energy: 25.65 states/eV per cell
* magnetic moment: 0.01 μB/cell
* energy relative to the elements, uncorrected: -0.61 eV per atom

***

Density functional theory data (GGA-PBEsol) for Be2ReP after structural relaxation.

a b c (Å): 2.5526 2.5526 7.2191
angles (deg): 90.00 90.00 90.00
Space group P4/mmm (No. 123)
Inequivalent atoms, fractional coordinates:
Be1 0.0000 0.0000 0.2454 [2 per cell]
Re1 0.5000 0.5000 0.0000 [1 per cell]
P1 0.5000 0.5000 0.5000 [1 per cell]

Output
* DOS at the Fermi energy: 2.23 states/eV per cell
* magnetic moment: 0.00 μB/cell
* energy above the most stable polymorph in this dataset: 534 meV per atom

***

Density functional theory data (GGA-PBEsol) for TbGa4Co8 after structural relaxation.

a b c (Å): 8.2318 8.2318 4.8310
angles (deg): 90.00 90.00 90.00
Space group I4/mmm (No. 139)
Inequivalent atoms, fractional coordinates:
Tb1 0.0000 0.0000 0.0000 [2 per cell]
Ga1 0.0000 0.3436 0.0000 [8 per cell]
Co1 0.0000 0.2247 0.5000 [8 per cell]
Co2 0.2500 0.2500 0.2500 [8 per cell]

Output
* DOS at the Fermi energy: 35.79 states/eV per cell
* magnetic moment: 17.27 μB/cell
* total energy: -165.95 eV for the cell shown

***

Density functional theory data (GGA-PBEsol) for Ti5Pb5O14 after structural relaxation.

a b c (Å): 5.6873 6.8675 8.6866
angles (deg): 76.46 71.32 88.91
Space group P1 (No. 1)
Inequivalent atoms, fractional coordinates:
Ti1 0.0000 0.0000 0.0000 [1 per cell]
Ti2 0.1734 0.8266 0.5894 [1 per cell]
Ti3 0.3804 0.6111 0.1965 [1 per cell]
Ti4 0.5616 0.4374 0.7850 [1 per cell]
Ti5 0.7796 0.2185 0.3920 [1 per cell]
Pb1 0.1369 0.3073 0.6141 [1 per cell]
Pb2 0.3740 0.1068 0.2002 [1 per cell]
Pb3 0.5743 0.9164 0.7990 [1 per cell]
Pb4 0.7580 0.7058 0.3956 [1 per cell]
Pb5 0.9503 0.4847 0.9892 [1 per cell]
O1 0.0125 0.0459 0.4804 [1 per cell]
O2 0.1122 0.4412 0.2834 [1 per cell]
O3 0.1123 0.9525 0.7782 [1 per cell]
O4 0.2265 0.8416 0.0806 [1 per cell]
O5 0.3222 0.7500 0.3774 [1 per cell]
O6 0.3269 0.2327 0.8854 [1 per cell]
O7 0.4100 0.6495 0.6790 [1 per cell]
O8 0.5133 0.0422 0.4800 [1 per cell]
O9 0.5235 0.5424 0.9788 [1 per cell]
O10 0.6195 0.4446 0.2779 [1 per cell]
O11 0.7115 0.8513 0.0768 [1 per cell]
O12 0.7183 0.3455 0.5820 [1 per cell]
O13 0.9044 0.6492 0.6777 [1 per cell]
O14 0.9171 0.1447 0.1775 [1 per cell]

Output
* DOS at the Fermi energy: 2.76 states/eV per cell
* magnetic moment: 0.00 μB/cell
* energy relative to the elements, uncorrected: -2.23 eV per atom

***

Density functional theory data (GGA-PBEsol) for AlCl after structural relaxation.

a b c (Å): 3.2216 4.7611 5.7716
angles (deg): 90.00 90.00 90.00
Space group Pmmn (No. 59, origin choice 2)
Inequivalent atoms, fractional coordinates:
Al1 0.2500 0.2500 0.2226 [2 per cell]
Cl1 0.2500 0.2500 0.6423 [2 per cell]

Output
* DOS at the Fermi energy: 0.26 states/eV per cell
* magnetic moment: 0.00 μB/cell
* energy relative to the elements, uncorrected: -0.32 eV per atom

***

Density functional theory data (GGA-PBEsol) for Sr3P14 after structural relaxation.

a b c (Å): 6.2580 12.6005 11.3579
angles (deg): 90.00 123.25 90.00
Space group P2_1/c (No. 14)
Inequivalent atoms, fractional coordinates:
Sr1 0.0000 0.0000 0.0000 [2 per cell]
Sr2 0.1759 0.1578 0.3766 [4 per cell]
P1 0.0347 0.1458 0.6447 [4 per cell]
P2 0.2523 0.2238 0.1349 [4 per cell]
P3 0.2765 0.0009 0.6867 [4 per cell]
P4 0.3051 0.0816 0.8694 [4 per cell]
P5 0.3603 0.7135 0.7264 [4 per cell]
P6 0.3661 0.6846 0.5372 [4 per cell]
P7 0.4045 0.5562 0.8225 [4 per cell]

Output
* DOS at the Fermi energy: 0.00 states/eV per cell
* magnetic moment: 0.00 μB/cell
* total energy: -188.78 eV for the cell shown

***

Density functional theory data (GGA-PBEsol) for NaMn2Mo2H3O10 after structural relaxation.

a b c (Å): 9.4167 6.4572 7.5728
angles (deg): 90.00 116.64 90.00
Space group C2/m (No. 12)
Inequivalent atoms, fractional coordinates:
Na1 0.0000 0.0000 0.0000 [2 per cell]
Mn1 0.2500 0.2500 0.5000 [4 per cell]
Mo1 0.0835 0.5000 0.7923 [4 per cell]
H1 0.0000 0.0000 0.5000 [2 per cell]
H2 0.1814 0.0000 0.7310 [4 per cell]
O1 0.0374 0.2785 0.2386 [8 per cell]
O2 0.1447 0.0000 0.5840 [4 per cell]
O3 0.1705 0.5000 0.6201 [4 per cell]
O4 0.2427 0.5000 0.0273 [4 per cell]

Output
* magnetic moment: 20.00 μB/cell
* total energy: -273.14 eV for the cell shown

***

Density functional theory data (GGA-PBEsol) for TiCuAsO2 after structural relaxation.

a b c (Å): 3.7196 3.7196 5.2034
angles (deg): 90.00 90.00 90.00
Space group P4/mmm (No. 123)
Inequivalent atoms, fractional coordinates:
Ti1 0.0000 0.0000 0.0000 [1 per cell]
Cu1 0.5000 0.5000 0.0000 [1 per cell]
As1 0.0000 0.0000 0.5000 [1 per cell]
O1 0.0000 0.5000 0.5000 [2 per cell]

Output
* DOS at the Fermi energy: 4.01 states/eV per cell
* magnetic moment: 0.06 μB/cell
* energy relative to the elements, uncorrected: 0.19 eV per atom

***

Density functional theory data (GGA-PBEsol) for AlRe2 after structural relaxation.

a b c (Å): 2.8016 2.8016 22.9000
angles (deg): 90.00 90.00 90.00
Space group I4_1/amd (No. 141, origin choice 2)
Inequivalent atoms, fractional coordinates:
Al1 0.0000 0.2500 0.3750 [4 per cell]
Re1 0.0000 0.2500 0.7952 [8 per cell]

Output
* DOS at the Fermi energy: 8.54 states/eV per cell
* magnetic moment: 0.00 μB/cell
* total energy: -119.20 eV for the cell shown

***

Density functional theory data (GGA-PBEsol) for YAl2Os after structural relaxation.

a b c (Å): 4.5841 4.5841 6.4740
angles (deg): 90.00 90.00 90.00
Space group I-4m2 (No. 119)
Inequivalent atoms, fractional coordinates:
Y1 0.0000 0.0000 0.0000 [2 per cell]
Al1 0.0000 0.0000 0.5000 [2 per cell]
Al2 0.0000 0.5000 0.7500 [2 per cell]
Os1 0.0000 0.5000 0.2500 [2 per cell]

Output
* DOS at the Fermi energy: 5.57 states/eV per cell
* magnetic moment: 0.00 μB/cell
* total energy: -55.75 eV for the cell shown

***

Density functional theory data (GGA-PBEsol) for IrRu2Rh after structural relaxation.

a b c (Å): 2.6735 2.6735 26.2355
angles (deg): 90.00 90.00 120.00
Space group R-3m (No. 166, hexagonal axes)
Inequivalent atoms, fractional coordinates:
Ir1 0.0000 0.0000 0.0000 [3 per cell]
Ru1 0.0000 0.0000 0.2499 [6 per cell]
Rh1 0.0000 0.0000 0.5000 [3 per cell]

Output
* DOS at the Fermi energy: 10.95 states/eV per cell
* magnetic moment: 0.00 μB/cell
* energy above the most stable polymorph in this dataset: 15 meV per atom

***

Density functional theory data (GGA-PBEsol) for RbTiSi3 after structural relaxation.

a b c (Å): 5.0390 5.0390 5.0390
angles (deg): 90.00 90.00 90.00
Space group Pm-3m (No. 221)
Inequivalent atoms, fractional coordinates:
Rb1 0.0000 0.0000 0.0000 [1 per cell]
Ti1 0.5000 0.5000 0.5000 [1 per cell]
Si1 0.0000 0.0000 0.5000 [3 per cell]

Output
* DOS at the Fermi energy: 8.35 states/eV per cell
* magnetic moment: 1.19 μB/cell
* energy relative to the elements, uncorrected: 2.34 eV per atom

***

Density functional theory data (GGA-PBEsol) for Li2NiOs after structural relaxation.

a b c (Å): 2.5851 2.5851 8.1241
angles (deg): 90.00 90.00 90.00
Space group P4mm (No. 99)
Inequivalent atoms, fractional coordinates:
Li1 0.0000 0.0000 0.0000 [1 per cell]
Li2 0.5000 0.5000 0.3165 [1 per cell]
Ni1 0.0000 0.0000 0.5406 [1 per cell]
Os1 0.5000 0.5000 0.7519 [1 per cell]

Output
* DOS at the Fermi energy: 2.29 states/eV per cell
* magnetic moment: 0.00 μB/cell
* energy above the most stable polymorph in this dataset: 46 meV per atom

***

Density functional theory data (GGA-PBEsol) for Cs2RbLuCl6 after structural relaxation.

a b c (Å): 11.1913 11.1913 11.1913
angles (deg): 90.00 90.00 90.00
Space group Fm-3m (No. 225)
Inequivalent atoms, fractional coordinates:
Cs1 0.2500 0.2500 0.2500 [8 per cell]
Rb1 0.0000 0.0000 0.0000 [4 per cell]
Lu1 0.0000 0.0000 0.5000 [4 per cell]
Cl1 0.0000 0.0000 0.2726 [24 per cell]

Output
* DOS at the Fermi energy: 0.00 states/eV per cell
* magnetic moment: 0.00 μB/cell
* energy relative to the elements, uncorrected: -2.13 eV per atom

***

Density functional theory data (GGA-PBEsol) for MnHgRu after structural relaxation.

a b c (Å): 2.7927 2.7927 11.2534
angles (deg): 90.00 90.00 90.00
Space group I4mm (No. 107)
Inequivalent atoms, fractional coordinates:
Mn1 0.0000 0.0000 0.0000 [2 per cell]
Hg1 0.0000 0.0000 0.3177 [2 per cell]
Ru1 0.0000 0.0000 0.6230 [2 per cell]

Output
* DOS at the Fermi energy: 5.69 states/eV per cell
* magnetic moment: 1.81 μB/cell
* energy above the most stable polymorph in this dataset: 0 meV per atom

***

Density functional theory data (GGA-PBEsol) for KCaRh2 after structural relaxation.

a b c (Å): 3.0005 5.1616 10.8178
angles (deg): 90.00 90.00 90.00
Space group Imm2 (No. 44)
Inequivalent atoms, fractional coordinates:
K1 0.0000 0.0000 0.0000 [2 per cell]
Ca1 0.0000 0.5000 0.2081 [2 per cell]
Rh1 0.0000 0.0000 0.4536 [2 per cell]
Rh2 0.0000 0.5000 0.7661 [2 per cell]

Output
* DOS at the Fermi energy: 9.10 states/eV per cell
* magnetic moment: 0.01 μB/cell
* energy above the most stable polymorph in this dataset: 219 meV per atom